1.
## Cs2CoIF6 (GGA+U)

Data for a relaxed Cs2CoIF6 crystal.

The space group is I4/mmm (No. 139) and the conventional cell measures 7.0596, 7.0596 and 8.7257 Å, with angles of 90.00, 90.00 and 90.00 degrees. The asymmetric unit holds Cs at (0.0000, 0.5000, 0.2500), Co at (0.0000, 0.0000, 0.0000), I at (0.0000, 0.0000, 0.5000), F at (0.0000, 0.0000, 0.2580) and F at (0.1848, 0.1848, 0.0000).

The total DFT energy (no corrections) is -80.4 eV/cell.



2.
## Cs2CoIrF6 (GGA+U)

Data for a relaxed Cs2CoIrF6 crystal.

The space group is I4/mmm (No. 139) and the conventional cell measures 6.1794, 6.1794 and 8.7825 Å, with angles of 90.00, 90.00 and 90.00 degrees. The asymmetric unit holds Cs at (0.0000, 0.5000, 0.2500), Co at (0.0000, 0.0000, 0.0000), Ir at (0.0000, 0.0000, 0.5000), F at (0.0000, 0.0000, 0.2628) and F at (0.2327, 0.2327, 0.0000).

The total DFT energy (no corrections) is -91.1 eV/cell.



The size of the total moment results, record by record, are as follows: 0.20 0.40 μB per atom.